## RbNiRuO4 (PBE with a Hubbard U)

Data for an optimized crystal structure of RbNiRuO4.

a = 5.7666 Å, b = 6.0054 Å, c = 7.1742 Å
α = 90.00°, β = 102.78°, γ = 90.00°
Element x y z (fractional)
Rb 0.1051 0.2500 0.1053
Rb 0.8949 0.7500 0.8947
Ni 0.2983 0.7500 0.5677
Ni 0.7017 0.2500 0.4323
Ru 0.4196 0.2500 0.7194
Ru 0.5804 0.7500 0.2806
O 0.2534 0.7500 0.2774
O 0.2919 0.5152 0.7678
O 0.2919 0.9848 0.7678
O 0.3687 0.2500 0.4532
O 0.6313 0.7500 0.5468
O 0.7081 0.0152 0.2322
O 0.7081 0.4848 0.2322
O 0.7466 0.2500 0.7226

raw total energy = -5.57 eV per atom